# 1
# CsNp2Co2S6

A relaxed CsNp2Co2S6 crystal (GGA-PBE, the Alexandria database).

Unit cell a=6.5027 b=7.1875 c=7.2875 alpha=62.32 beta=66.81 gamma=69.86
Closest atoms and distances in Å follow each position.
Space group P-1 (No. 2)
One atom of each set of equivalent atoms:
1 Cs 0.0000 0.0000 0.0000  6 S 3.50-3.71
2 Np 0.0019 0.3250 0.3297  6 S 2.65-2.78
3 Co 0.4999 0.3536 0.6824  4 S 2.21-2.25
4 S 0.2732 0.9438 0.3567  1 Co 2.21
5 S 0.2735 0.4910 0.9281  1 Co 2.22
6 S 0.2779 0.4008 0.4876  2 Co 2.25

uncorrected formation energy	-9.27	eV per formula unit

***

# 2
# CsNp2CoS4

A relaxed CsNp2CoS4 crystal (GGA-PBE, the Alexandria database).

Unit cell a=3.9373 b=14.1589 c=13.5228 alpha=90.00 beta=90.00 gamma=90.00
Closest atoms and distances in Å follow each position.
Space group Cmcm (No. 63)
One atom of each set of equivalent atoms:
1 Cs 0.0000 0.0983 0.2500  8 S 3.34-3.66
2 Np 0.0000 0.3655 0.0576  6 S 2.67-2.85
3 Co 0.0000 0.1733 0.7500  4 S 2.24-2.28
4 S 0.0000 0.0000 0.0000  4 Np 2.85
5 S 0.0000 0.2557 0.6084  1 Co 2.24
6 S 0.0000 0.4079 0.2500  2 Co 2.28

uncorrected formation energy	-9.62	eV per formula unit

***

# 3
# Cs2NpCo2S6

A relaxed Cs2NpCo2S6 crystal (GGA-PBE, the Alexandria database).

Unit cell a=12.5321 b=7.2367 c=7.6717 alpha=90.00 beta=123.04 gamma=90.00
Closest atoms and distances in Å follow each position.
Space group C2/m (No. 12)
One atom of each set of equivalent atoms:
1 Cs 0.2365 0.0000 0.2098  12 S 3.64-3.94, 1 Co 3.86
2 Np 0.0000 0.0000 0.5000  6 S 2.56
3 Co 0.0630 0.5000 0.1895  3 S 2.15
4 S 0.0069 0.2503 0.2707  1 Co 2.15
5 S 0.2435 0.0000 0.7295  1 Co 2.15

uncorrected formation energy	-8.07	eV per formula unit

***

# 4
# CsNp4Co3Se12

A relaxed CsNp4Co3Se12 crystal (GGA-PBE, the Alexandria database).

Unit cell a=10.1834 b=10.1834 c=10.1834 alpha=90.00 beta=90.00 gamma=90.00
Closest atoms and distances in Å follow each position.
Space group Im-3 (No. 204)
One atom of each set of equivalent atoms:
1 Cs 0.0000 0.0000 0.0000  12 Se 3.78
2 Np 0.2500 0.2500 0.2500  6 Se 2.82
3 Co 0.0000 0.0000 0.5000  4 Se 2.38
4 Se 0.0000 0.1632 0.3331  1 Co 2.38

uncorrected formation energy	-11.71	eV per formula unit

***

# 5
# Cs3Np3CoSe8

A relaxed Cs3Np3CoSe8 crystal (GGA-PBE, the Alexandria database).

Unit cell a=14.3081 b=8.2565 c=9.7692 alpha=90.00 beta=119.29 gamma=90.00
Closest atoms and distances in Å follow each position.
Space group C2/m (No. 12)
One atom of each set of equivalent atoms:
1 Cs 0.0000 0.0000 0.0000  6 Se 3.57-3.64
2 Cs 0.2500 0.2500 0.0000  6 Se 3.58-3.64
3 Np 0.0000 0.5000 0.5000  6 Se 2.84-2.87
4 Np 0.2500 0.2500 0.5000  6 Se 2.84-2.87
5 Co 0.0000 0.0000 0.5000  6 Se 2.71
6 Se 0.0224 0.2390 0.3283  1 Co 2.71, 2 Np 2.84
7 Se 0.2168 0.0000 0.6718  1 Co 2.71, 2 Np 2.84
8 Se 0.2292 0.5000 0.6874  3 Np 2.87

uncorrected formation energy	-14.89	eV per formula unit

***

# 6
# Cs4Np3CoSe8

A relaxed Cs4Np3CoSe8 crystal (GGA-PBE, the Alexandria database).

Unit cell a=8.4619 b=8.4619 c=24.9320 alpha=90.00 beta=90.00 gamma=120.00
Closest atoms and distances in Å follow each position.
Space group R-3m (No. 166, hexagonal axes)
One atom of each set of equivalent atoms:
1 Cs 0.0000 0.0000 0.0000  6 Se 3.68
2 Cs 0.0000 0.5000 0.0000  6 Se 3.57-3.61
3 Np 0.0000 0.5000 0.5000  6 Se 2.88-2.90
4 Co 0.0000 0.0000 0.5000  6 Se 2.79
5 Se 0.0000 0.0000 0.2290  3 Np 2.90
6 Se 0.0099 0.5050 0.2255  1 Co 2.79, 2 Np 2.88

uncorrected formation energy	-16.06	eV per formula unit